No. 1
Entry from Alexandria via LeMat-Bulk: Sr2CoSi after structural relaxation (PBE-GGA).

Results
* volume: 109.8 Å³ per cell
* magnetization: 0.42 μB/cell
* uncorrected energy: -16.51 eV/f.u.
* formation energy without anion corrections: -60 kJ/mol of formula units
* symmetry: No. 38

a b c (Å): 4.1724 4.7394 6.0370
angles (deg): 66.88 90.00 90.00
Closest atoms and distances in Å follow each position.
Fractional positions:
Si 0.5000 0.5819 0.7112  2 Co 2.27
Sr 0.5000 0.2705 0.3340  3 Si 3.16-3.46, 4 Co 3.38
Sr 0.0000 0.9856 0.9039  2 Co 3.07, 4 Si 3.33
Co 0.0000 0.6620 0.5510  2 Si 2.27

=====

No. 2
Entry from Alexandria via LeMat-Bulk: SrCoSi after structural relaxation (PBE-GGA).

Results
* volume: 56.7 Å³ per cell
* magnetization: 0.57 μB/cell
* uncorrected energy: -14.39 eV/f.u.
* formation energy without anion corrections: -18 kJ/mol of formula units
* symmetry: No. 107

a b c (Å): 5.9927 5.9927 3.1950
angles (deg): 74.54 74.54 30.92
Closest atoms and distances in Å follow each position.
Fractional positions:
Sr 0.6656 0.6656 0.3344  5 Si 3.16-3.29, 4 Sr 3.19, 5 Co 3.20-3.26
Si 0.3808 0.3808 0.6192  4 Co 2.40
Co 0.9535 0.9535 0.0465  4 Si 2.40

=====

No. 3
Entry from Alexandria via LeMat-Bulk: SrCoSi4 after structural relaxation (PBE-GGA).

Results
* volume: 104.3 Å³ per cell
* magnetization: 1.78 μB/cell
* uncorrected energy: -28.31 eV/f.u.
* formation energy without anion corrections: 209 kJ/mol of formula units
* symmetry: No. 216

a b c (Å): 5.2831 5.2831 5.2831
angles (deg): 60.00 60.00 60.00
Closest atoms and distances in Å follow each position.
Fractional positions:
Co 0.0000 0.0000 0.0000  12 Si 3.09, 4 Sr 3.24
Si 0.3723 0.3723 0.3723  6 Si 2.58-2.70
Si 0.8831 0.3723 0.3723  6 Si 2.58-2.70
Si 0.3723 0.3723 0.8831  6 Si 2.58-2.70
Si 0.3723 0.8831 0.3723  6 Si 2.58-2.70
Sr 0.7500 0.7500 0.7500  12 Si 3.10, 4 Co 3.24

=====

No. 4
Entry from Alexandria via LeMat-Bulk: Sr2Co2Si after structural relaxation (PBE-GGA).

Results
* volume: 202.3 Å³ per cell
* magnetization: 2.97 μB/cell
* uncorrected energy: -22.11 eV/f.u.
* formation energy without anion corrections: 86 kJ/mol of formula units
* symmetry: No. 127

a b c (Å): 6.5029 6.5029 4.7828
angles (deg): 90.00 90.00 90.00
Closest atoms and distances in Å follow each position.
Fractional positions:
Co 0.8729 0.6271 0.0000  1 Co 2.34, 2 Si 2.56
Co 0.1271 0.3729 0.0000  1 Co 2.34, 2 Si 2.56
Co 0.3729 0.8729 0.0000  1 Co 2.34, 2 Si 2.56
Co 0.6271 0.1271 0.0000  1 Co 2.34, 2 Si 2.56
Sr 0.8172 0.3172 0.5000  6 Co 2.96-3.15
Sr 0.3172 0.1828 0.5000  6 Co 2.96-3.15
Sr 0.1828 0.6828 0.5000  6 Co 2.96-3.15
Sr 0.6828 0.8172 0.5000  6 Co 2.96-3.15
Si 0.0000 0.0000 0.0000  4 Co 2.56
Si 0.5000 0.5000 0.0000  4 Co 2.56